# 1
{"formula": "Mg2CrCd", "functional": "PBE", "state": "relaxed", "sg": "P4/mmm (123)", "formation_energy_ev_per_atom": 0.211, "lattice": [[3.448, 0.000, 0.000], [0.000, 3.448, 0.000], [0.000, 0.000, 6.712]], "species": ["Mg", "Mg", "Cr", "Cd"], "frac_coords": [[0.000, 0.000, 0.235], [0.000, 0.000, 0.765], [0.500, 0.500, 0.000], [0.500, 0.500, 0.500]]}



# 2
{"formula": "Li2Ac2Tl5", "functional": "PBE", "state": "relaxed", "sg": "P4/mmm (123)", "formation_energy_ev_per_atom": -0.251, "lattice": [[5.302, 0.000, 0.000], [0.000, 5.302, 0.000], [0.000, 0.000, 9.253]], "species": ["Li", "Li", "Ac", "Ac", "Tl", "Tl", "Tl", "Tl", "Tl"], "frac_coords": [[0.000, 0.000, 0.147], [0.000, 0.000, 0.853], [0.500, 0.500, 0.000], [0.500, 0.500, 0.500], [0.000, 0.000, 0.500], [0.000, 0.500, 0.247], [0.000, 0.500, 0.753], [0.500, 0.000, 0.247], [0.500, 0.000, 0.753]]}



# 3
{"formula": "AcLaSm2Tm", "functional": "PBE", "state": "relaxed", "sg": "P2_1/m (11)", "formation_energy_ev_per_atom": 0.045, "lattice": [[8.235, 0.000, 0.000], [0.000, 5.253, 0.000], [-0.059, 0.000, 8.271]], "species": ["Ac", "Ac", "La", "La", "Sm", "Sm", "Sm", "Sm", "Tm", "Tm"], "frac_coords": [[0.051, 0.250, 0.154], [0.949, 0.750, 0.846], [0.258, 0.250, 0.745], [0.742, 0.750, 0.255], [0.158, 0.750, 0.447], [0.454, 0.250, 0.346], [0.546, 0.750, 0.654], [0.842, 0.250, 0.553], [0.358, 0.750, 0.049], [0.642, 0.250, 0.951]]}



# 4
{"formula": "NdThMgAg", "functional": "PBE", "state": "relaxed", "sg": "F-43m (216)", "formation_energy_ev_per_atom": -0.006, "lattice": [[0.000, 3.804, 3.804], [3.804, 0.000, 3.804], [3.804, 3.804, 0.000]], "species": ["Nd", "Th", "Mg", "Ag"], "frac_coords": [[0.000, 0.000, 0.000], [0.500, 0.500, 0.500], [0.250, 0.250, 0.250], [0.750, 0.750, 0.750]]}



# 5
{"formula": "Rb3Tm3ScTe8", "functional": "PBE", "state": "relaxed", "sg": "R-3m (166)", "formation_energy_uncorrected_ev_per_atom": -1.27, "lattice": [[4.322, 2.496, 8.874], [-4.322, 2.496, 8.874], [0.000, -4.991, 8.874]], "species": ["Rb", "Rb", "Rb", "Tm", "Tm", "Tm", "Sc", "Te", "Te", "Te", "Te", "Te", "Te", "Te", "Te"], "frac_coords": [[0.000, 0.500, 0.500], [0.500, 0.000, 0.500], [0.500, 0.500, 0.000], [0.000, 0.000, 0.500], [0.000, 0.500, 0.000], [0.500, 0.000, 0.000], [0.500, 0.500, 0.500], [0.233, 0.233, 0.233], [0.238, 0.728, 0.728], [0.272, 0.272, 0.762], [0.272, 0.762, 0.272], [0.728, 0.238, 0.728], [0.728, 0.728, 0.238], [0.762, 0.272, 0.272], [0.767, 0.767, 0.767]]}



# 6
{"formula": "EuTlSb4", "functional": "PBE", "state": "relaxed", "sg": "F-43m (216)", "formation_energy_uncorrected_ev_per_atom": -0.18, "lattice": [[0.000, 4.532, 4.532], [4.532, 0.000, 4.532], [4.532, 4.532, 0.000]], "species": ["Eu", "Tl", "Sb", "Sb", "Sb", "Sb"], "frac_coords": [[0.000, 0.000, 0.000], [0.250, 0.250, 0.250], [0.132, 0.623, 0.623], [0.623, 0.132, 0.623], [0.623, 0.623, 0.132], [0.623, 0.623, 0.623]]}



# 7
{"formula": "NpTlSnTe3", "functional": "PBE", "state": "relaxed", "sg": "P2_1/m (11)", "formation_energy_uncorrected_ev_per_atom": -0.43, "lattice": [[9.855, 0.000, 0.000], [0.000, 4.424, 0.000], [-1.984, 0.000, 9.933]], "species": ["Np", "Np", "Tl", "Tl", "Sn", "Sn", "Te", "Te", "Te", "Te", "Te", "Te"], "frac_coords": [[0.150, 0.250, 0.158], [0.850, 0.750, 0.842], [0.317, 0.750, 0.810], [0.683, 0.250, 0.190], [0.370, 0.750, 0.460], [0.630, 0.250, 0.540], [0.071, 0.250, 0.847], [0.171, 0.250, 0.468], [0.377, 0.750, 0.166], [0.623, 0.250, 0.834], [0.829, 0.750, 0.532], [0.929, 0.750, 0.153]]}



# 8
{"formula": "Ca2ZrSi", "functional": "PBE", "state": "relaxed", "sg": "P4/mmm (123)", "formation_energy_uncorrected_ev_per_atom": 0.05, "lattice": [[4.430, 0.000, 0.000], [0.000, 4.430, 0.000], [0.000, 0.000, 4.909]], "species": ["Ca", "Ca", "Zr", "Si"], "frac_coords": [[0.000, 0.500, 0.000], [0.500, 0.000, 0.000], [0.000, 0.000, 0.500], [0.500, 0.500, 0.500]]}